Compound: KSr3
Source: Alexandria via LeMat-Bulk
Functional: GGA-PBE
Structure: relaxed

The structure in CIF format:
```
data_KSr3
_chemical_formula_sum 'K2 Sr6'
_cell_length_a 7.082
_cell_length_b 8.713
_cell_length_c 7.568
_cell_angle_alpha 90.00
_cell_angle_beta 90.00
_cell_angle_gamma 90.00
_symmetry_space_group_name_H-M 'P m m n'
_symmetry_Int_Tables_number 59
loop_
_symmetry_equiv_pos_as_xyz
'x,y,z'
'-x,-y,-z'
'-x+1/2,-y+1/2,z'
'x+1/2,y+1/2,-z'
'x+1/2,-y,-z'
'-x+1/2,y,z'
'-x,y+1/2,-z'
'x,-y+1/2,z'
loop_
_atom_site_label
_atom_site_type_symbol
_atom_site_fract_x
_atom_site_fract_y
_atom_site_fract_z
K1 K 0.250 0.250 0.166
Sr1 Sr 0.250 0.000 0.662
Sr2 Sr 0.250 0.750 0.170
```

Summary:
E (eV/cell): -11.517
Polymorph energy (0 for the lowest one) (eV/atom): 0.051
DFT formation energy (eV per formula unit): 0.38